This record from Alexandria describes a geometry-optimized Co2TcIF structure. The functional is GGA+U.

The structure in extended XYZ format:
```
5
Lattice="4.854 0.000 0.000 0.000 4.854 0.000 0.000 0.000 4.437" Properties=species:S:1:pos:R:3 pbc="T T T"
Co 0.000 2.427 0.000
Co 2.427 0.000 0.000
Tc 0.000 0.000 2.219
I 2.427 2.427 0.000
F 2.427 2.427 2.219
```

## Properties
**Volume**: 20.91 Å³/atom
**ρ**: 5746 kg/m³
**Final energy**: -3.468 eV/atom


This record from Alexandria describes a geometry-optimized NiHg2TeO6 structure. The functional is GGA+U.

The structure in extended XYZ format:
```
10
Lattice="2.784 1.607 4.614 -2.784 1.607 4.614 0.000 -3.215 4.614" Properties=species:S:1:pos:R:3 pbc="T T T"
Ni 0.000 0.000 0.000
Hg 0.000 0.000 3.458
Hg 0.000 0.000 10.384
Te 0.000 0.000 6.921
O -0.532 -1.525 5.792
O -1.587 -0.302 8.050
O -1.055 1.223 5.792
O 1.055 -1.223 8.050
O 1.587 0.302 5.792
O 0.532 1.525 8.050
```

## Properties
**Volume**: 12.39 Å³/atom
**ρ**: 9157 kg/m³
**Final energy**: -4.305 eV/atom